Material: Ba2TlPb4Au3
Method: DFT, PBE
State: relaxed

Results
space group = P-4m2 (115)
VASP energy = -3.487 eV/atom
formation energy = -3.989 eV/f.u.

a = 5.074 Å, b = 5.074 Å, c = 11.948 Å
α = 90.00°, β = 90.00°, γ = 90.00°
Atoms (fractional coordinates):
Ba (0.500, 0.000, 0.251)
Ba (0.000, 0.500, 0.749)
Tl (0.500, 0.500, 0.500)
Pb (0.500, 0.500, 0.000)
Pb (0.000, 0.000, 0.000)
Pb (0.500, 0.000, 0.639)
Pb (0.000, 0.500, 0.361)
Au (0.000, 0.000, 0.500)
Au (0.500, 0.000, 0.873)
Au (0.000, 0.500, 0.127)

---

Material: Ba2TlPbAu6
Method: DFT, PBE
State: relaxed

Results
space group = Fm-3m (225)
VASP energy = -3.153 eV/atom
formation energy = -1.947 eV/f.u.

a = 7.683 Å, b = 7.683 Å, c = 7.683 Å
α = 60.00°, β = 60.00°, γ = 90.00°
Atoms (fractional coordinates):
Ba (0.250, 0.750, 0.500)
Ba (0.750, 0.250, 0.500)
Tl (0.000, 0.000, 0.000)
Pb (0.500, 0.500, 0.000)
Au (0.248, 0.752, 0.000)
Au (0.751, 0.751, 0.000)
Au (0.249, 0.249, 0.503)
Au (0.752, 0.248, 0.000)
Au (0.249, 0.249, 0.000)
Au (0.751, 0.751, 0.497)

---

Material: BaVPb2Au
Method: DFT, PBE
State: relaxed

Results
space group = P4/mmm (123)
VASP energy = -4.403 eV/atom
formation energy = -0.279 eV/f.u.

a = 5.270 Å, b = 5.220 Å, c = 5.270 Å
α = 90.00°, β = 90.00°, γ = 90.00°
Each line ends with the local moment (μB).
Atoms (fractional coordinates):
Pb (0.000, 0.000, 0.500)  -0.04
Pb (0.500, 0.000, 0.000)  -0.05
Au (0.000, 0.500, 0.000)  0.03
Ba (0.500, 0.500, 0.500)  -0.04
V (0.000, 0.000, 0.000)  0.92

---

Material: Ba2ZnPb4Au3
Method: DFT, PBE
State: relaxed

Results
space group = P-4m2 (115)
VASP energy = -3.393 eV/atom
formation energy = -4.146 eV/f.u.

a = 4.970 Å, b = 4.970 Å, c = 11.856 Å
α = 90.00°, β = 90.00°, γ = 90.00°
Atoms (fractional coordinates):
Ba (0.500, 0.000, 0.260)
Ba (0.000, 0.500, 0.740)
Zn (0.500, 0.500, 0.500)
Pb (0.500, 0.500, 0.000)
Pb (0.000, 0.000, 0.000)
Pb (0.500, 0.000, 0.624)
Pb (0.000, 0.500, 0.376)
Au (0.000, 0.000, 0.500)
Au (0.500, 0.000, 0.863)
Au (0.000, 0.500, 0.137)

---

Material: Ba2Zn3PbAu12
Method: DFT, PBE
State: relaxed

Results
space group = R-3m (166)
VASP energy = -3.021 eV/atom
formation energy = -3.676 eV/f.u.

a = 10.565 Å, b = 10.565 Å, c = 10.565 Å
α = 39.48°, β = 39.48°, γ = 39.48°
Atoms (fractional coordinates):
Ba (0.647, 0.647, 0.647)
Ba (0.353, 0.353, 0.353)
Zn (0.500, 0.000, 0.000)
Zn (0.000, 0.500, 0.000)
Zn (0.000, 0.000, 0.500)
Pb (0.000, 0.000, 0.000)
Au (0.409, 0.409, 0.810)
Au (0.919, 0.919, 0.379)
Au (0.379, 0.919, 0.919)
Au (0.810, 0.409, 0.409)
Au (0.919, 0.379, 0.919)
Au (0.409, 0.810, 0.409)
Au (0.591, 0.591, 0.190)
Au (0.081, 0.081, 0.621)
Au (0.621, 0.081, 0.081)
Au (0.190, 0.591, 0.591)
Au (0.081, 0.621, 0.081)
Au (0.591, 0.190, 0.591)

---

Material: BaZnPbAu3
Method: DFT, PBE
State: relaxed

Results
space group = Cmcm (63)
VASP energy = -3.112 eV/atom
formation energy = -1.932 eV/f.u.

a = 7.209 Å, b = 7.274 Å, c = 7.461 Å
α = 119.18°, β = 90.00°, γ = 90.00°
Atoms (fractional coordinates):
Ba (0.750, 0.207, 0.415)
Ba (0.250, 0.793, 0.585)
Zn (0.250, 0.103, 0.206)
Zn (0.750, 0.897, 0.794)
Pb (0.250, 0.512, 0.024)
Pb (0.750, 0.488, 0.976)
Au (0.250, 0.296, 0.592)
Au (0.000, 0.192, 0.000)
Au (0.500, 0.808, 0.000)
Au (0.500, 0.192, 0.000)
Au (0.000, 0.808, 0.000)
Au (0.750, 0.704, 0.408)

---

Material: Ba3Zn2Pb2Au4
Method: DFT, PBE
State: relaxed

Results
space group = P-3m1 (164)
VASP energy = -3.070 eV/atom
formation energy = -4.926 eV/f.u.

a = 4.730 Å, b = 4.730 Å, c = 17.229 Å
α = 90.00°, β = 90.00°, γ = 120.00°
Atoms (fractional coordinates):
Ba (0.000, 0.000, 0.737)
Ba (0.000, 0.000, 0.000)
Ba (0.000, 0.000, 0.263)
Zn (0.667, 0.333, 0.868)
Zn (0.333, 0.667, 0.132)
Pb (0.667, 0.333, 0.439)
Pb (0.333, 0.667, 0.561)
Au (0.667, 0.333, 0.129)
Au (0.333, 0.667, 0.871)
Au (0.667, 0.333, 0.619)
Au (0.333, 0.667, 0.381)

---

Material: Ba2Zn4PbAu3
Method: DFT, PBE
State: relaxed

Results
space group = P-4m2 (115)
VASP energy = -2.679 eV/atom
formation energy = -4.308 eV/f.u.

a = 4.651 Å, b = 4.651 Å, c = 11.315 Å
α = 90.00°, β = 90.00°, γ = 90.00°
Atoms (fractional coordinates):
Ba (0.500, 0.000, 0.240)
Ba (0.000, 0.500, 0.760)
Zn (0.500, 0.500, 0.000)
Zn (0.000, 0.000, 0.000)
Zn (0.500, 0.000, 0.646)
Zn (0.000, 0.500, 0.354)
Pb (0.500, 0.500, 0.500)
Au (0.000, 0.000, 0.500)
Au (0.500, 0.000, 0.881)
Au (0.000, 0.500, 0.119)

---

Material: Ba2PdAu3
Method: DFT, PBE
State: relaxed

Results
excess energy over the best structure of this formula in the dataset = 0 kJ/mol of formula units
space group = Pmm2 (25)
VASP energy = -3.828 eV/atom
formation energy = -4.098 eV/f.u.

a = 4.305 Å, b = 4.806 Å, c = 8.338 Å
α = 90.00°, β = 90.00°, γ = 90.00°
Atoms (fractional coordinates):
Ba (0.000, 0.500, 0.008)
Ba (0.000, 0.000, 0.494)
Pd (0.500, 0.500, 0.331)
Au (0.500, 0.000, 0.835)
Au (0.500, 0.000, 0.173)
Au (0.500, 0.500, 0.658)

---

Material: Ba12PdAu5
Method: DFT, PBE
State: relaxed

Results
space group = C2/m (12)
VASP energy = -2.975 eV/atom
formation energy = -8.892 eV/f.u.

a = 8.290 Å, b = 8.289 Å, c = 15.377 Å
α = 84.85°, β = 79.66°, γ = 59.99°
Atoms (fractional coordinates):
Ba (0.872, 0.000, 0.383)
Ba (0.128, 0.000, 0.617)
Ba (0.714, 0.000, 0.885)
Ba (0.286, 0.000, 0.115)
Ba (0.362, 0.676, 0.885)
Ba (0.962, 0.676, 0.115)
Ba (0.038, 0.324, 0.885)
Ba (0.638, 0.324, 0.115)
Ba (0.460, 0.333, 0.619)
Ba (0.794, 0.667, 0.619)
Ba (0.206, 0.333, 0.381)
Ba (0.540, 0.667, 0.381)
Pd (0.000, 0.000, 0.000)
Au (0.500, 0.000, 0.500)
Au (0.167, 0.666, 0.500)
Au (0.833, 0.334, 0.500)
Au (0.667, 0.667, 0.000)
Au (0.333, 0.333, 0.000)

---

Material: Ba4PdAu
Method: DFT, PBE
State: relaxed

Results
excess energy over the best structure of this formula in the dataset = 12 kJ/mol of formula units
space group = C2/c (15)
VASP energy = -3.120 eV/atom
formation energy = -2.558 eV/f.u.

a = 7.943 Å, b = 7.943 Å, c = 9.724 Å
α = 65.66°, β = 65.88°, γ = 89.99°
Atoms (fractional coordinates):
Ba (0.372, 0.873, 0.254)
Ba (0.627, 0.627, 0.746)
Ba (0.628, 0.127, 0.746)
Ba (0.373, 0.373, 0.254)
Ba (0.872, 0.871, 0.254)
Ba (0.127, 0.629, 0.746)
Ba (0.128, 0.129, 0.746)
Ba (0.873, 0.371, 0.254)
Pd (0.000, 0.000, 0.500)
Pd (0.500, 0.500, 0.500)
Au (0.250, 0.750, 0.000)
Au (0.750, 0.250, 0.000)

---

Material: Ba8PdAu3
Method: DFT, PBE
State: relaxed

Results
space group = R-3m (166)
VASP energy = -3.021 eV/atom
formation energy = -5.844 eV/f.u.

a = 9.558 Å, b = 9.557 Å, c = 9.324 Å
α = 120.82°, β = 90.02°, γ = 120.00°
Atoms (fractional coordinates):
Ba (0.255, 0.510, 0.765)
Ba (0.745, 0.490, 0.235)
Ba (0.246, 0.006, 0.766)
Ba (0.760, 0.006, 0.766)
Ba (0.760, 0.520, 0.766)
Ba (0.240, 0.480, 0.234)
Ba (0.240, 0.994, 0.234)
Ba (0.754, 0.994, 0.234)
Pd (0.000, 0.000, 0.000)
Au (0.500, 0.000, 0.000)
Au (0.500, 0.500, 0.000)
Au (0.000, 0.500, 0.000)

---

Across the entries above, total magnetization takes the values 0.00 0.00 0.76 0.00 0.00 0.00 0.00 0.00 0.00 0.00 0.00 0.00 Bohr magnetons per cell, respectively.